BaSrO2 | GGA-PBE | relaxed

a b c (Å): 6.646 6.646 6.646
angles (deg): 33.41 33.41 33.41
Positions (direct):
Ba1 0.000 0.000 0.000
Sr1 0.500 0.500 0.500
O1 0.245 0.245 0.245
O2 0.755 0.755 0.755

Computed properties:
**Crystal system**: trigonal
**Space group**: No. 166
**Uncorrected energy**: -5.96 eV per atom
**Formation energy without anion corrections**: -10.30 eV/f.u.